(1)
Entry from Alexandria via LeMat-Bulk: a relaxed structure of BeRe3Se (GGA-PBE).

Unit cell a=4.224 b=4.224 c=4.224 alpha=90.00 beta=90.00 gamma=90.00
Sites, in units of the cell vectors:
Be: 0.000 0.000 0.000
Re: 0.000 0.000 0.500
Re: 0.000 0.500 0.000
Re: 0.500 0.000 0.000
Se: 0.500 0.500 0.500

## Properties
The calculation puts the raw total energy at -7.668 eV per atom. The formation energy without anion corrections is 1.2434 eV/atom. The magnetization is 0.0 μB/cell.

---

(2)
Entry from Alexandria via LeMat-Bulk: a relaxed structure of BeReSe2 (GGA-PBE).

Unit cell a=8.897 b=8.897 c=8.897 alpha=20.40 beta=20.40 gamma=20.40
Sites, in units of the cell vectors:
Be: 0.000 0.000 0.000
Re: 0.259 0.259 0.259
Se: 0.529 0.529 0.529
Se: 0.716 0.716 0.716

## Properties
The calculation puts the raw total energy at -5.645 eV per atom. The formation energy without anion corrections is 0.1406 eV/atom. The magnetization is 0.1 μB/cell.

---

(3)
Entry from Alexandria via LeMat-Bulk: a relaxed structure of BeReSe2 (GGA-PBE).

Unit cell a=4.303 b=4.303 c=6.221 alpha=95.47 beta=95.47 gamma=43.92
Sites, in units of the cell vectors:
Be: 0.000 0.000 0.000
Re: 0.278 0.278 0.939
Se: 0.561 0.561 0.723
Se: 0.791 0.791 0.235

## Properties
The calculation puts the raw total energy at -5.689 eV per atom. The formation energy without anion corrections is 0.0968 eV/atom. The magnetization is 0.0 μB/cell.

---

(4)
Entry from Alexandria via LeMat-Bulk: a relaxed structure of Be2ReWSe (GGA-PBE).

Unit cell a=3.947 b=3.947 c=5.025 alpha=90.00 beta=90.00 gamma=90.00
Sites, in units of the cell vectors:
Be: 0.000 0.500 0.000
Be: 0.500 0.000 0.000
Re: 0.000 0.000 0.500
W: 0.500 0.500 0.500
Se: 0.500 0.500 0.000

## Properties
The calculation puts the raw total energy at -5.822 eV per atom. The formation energy without anion corrections is 1.4461 eV/atom. The magnetization is 0.0 μB/cell.

---

(5)
Entry from Alexandria via LeMat-Bulk: a relaxed structure of Y2BeReSe (GGA-PBE).

Unit cell a=5.320 b=5.320 c=4.498 alpha=90.00 beta=90.00 gamma=90.00
Sites, in units of the cell vectors:
Y: 0.000 0.500 0.000
Y: 0.500 0.000 0.000
Be: 0.000 0.000 0.500
Re: 0.500 0.500 0.500
Se: 0.500 0.500 0.000

## Properties
The calculation puts the raw total energy at -6.022 eV per atom. The formation energy without anion corrections is 0.4950 eV/atom. The magnetization is 0.0 μB/cell.

---

(6)
Entry from Alexandria via LeMat-Bulk: a relaxed structure of Be2ReSi (GGA-PBE).

Unit cell a=4.011 b=4.011 c=4.011 alpha=60.00 beta=60.00 gamma=60.00
Sites, in units of the cell vectors:
Be: 0.000 0.000 0.000
Be: 0.250 0.250 0.250
Re: 0.500 0.500 0.500
Si: 0.750 0.750 0.750

## Properties
The calculation puts the raw total energy at -6.144 eV per atom. The formation energy without anion corrections is 0.1871 eV/atom. The magnetization is 0.0 μB/cell.

---

(7)
Entry from Alexandria via LeMat-Bulk: a relaxed structure of Be4ReSi (GGA-PBE).

Unit cell a=4.308 b=4.308 c=4.308 alpha=60.00 beta=60.00 gamma=60.00
Sites, in units of the cell vectors:
Be: 0.123 0.123 0.123
Be: 0.123 0.123 0.631
Be: 0.123 0.631 0.123
Be: 0.631 0.123 0.123
Re: 0.750 0.750 0.750
Si: 0.500 0.500 0.500

## Properties
The calculation puts the raw total energy at -5.646 eV per atom. The formation energy without anion corrections is -0.1836 eV/atom. The magnetization is 0.0 μB/cell.

---

(8)
Entry from Alexandria via LeMat-Bulk: a relaxed structure of Be2ReSi (GGA-PBE).

Unit cell a=7.803 b=7.803 c=7.803 alpha=19.96 beta=19.96 gamma=19.96
Sites, in units of the cell vectors:
Be: 0.249 0.249 0.249
Be: 0.751 0.751 0.751
Re: 0.000 0.000 0.000
Si: 0.500 0.500 0.500

## Properties
The calculation puts the raw total energy at -6.030 eV per atom. The formation energy without anion corrections is 0.3010 eV/atom. The magnetization is 0.0 μB/cell.

---

(9)
Entry from Alexandria via LeMat-Bulk: a relaxed structure of Be2ReSi (GGA-PBE).

Unit cell a=5.091 b=5.091 c=5.091 alpha=102.55 beta=102.55 gamma=124.43
Sites, in units of the cell vectors:
Be: 0.110 0.625 0.985
Be: 0.375 0.360 0.485
Be: 0.640 0.125 0.015
Be: 0.875 0.890 0.515
Re: 0.250 0.750 0.500
Re: 0.500 0.500 0.000
Si: 0.000 0.000 0.000
Si: 0.750 0.250 0.500

## Properties
The calculation puts the raw total energy at -5.816 eV per atom. The formation energy without anion corrections is 0.5151 eV/atom. The magnetization is 0.0 μB/cell.

---

(10)
Entry from Alexandria via LeMat-Bulk: a relaxed structure of Be2ReSi (GGA-PBE).

Unit cell a=4.306 b=4.306 c=2.664 alpha=90.00 beta=90.00 gamma=110.60
Sites, in units of the cell vectors:
Be: 0.000 0.500 0.000
Be: 0.500 0.000 0.000
Re: 0.000 0.000 0.500
Si: 0.500 0.500 0.500

## Properties
The calculation puts the raw total energy at -6.212 eV per atom. The formation energy without anion corrections is 0.1189 eV/atom. The magnetization is 0.0 μB/cell.

---

(11)
Entry from Alexandria via LeMat-Bulk: a relaxed structure of Be2ReSi (GGA-PBE).

Unit cell a=2.545 b=2.545 c=7.456 alpha=90.00 beta=90.00 gamma=90.00
Sites, in units of the cell vectors:
Be: 0.000 0.000 0.241
Be: 0.000 0.000 0.759
Re: 0.500 0.500 0.000
Si: 0.500 0.500 0.500

## Properties
The calculation puts the raw total energy at -6.018 eV per atom. The formation energy without anion corrections is 0.3133 eV/atom. The magnetization is 0.0 μB/cell.

---

(12)
Entry from Alexandria via LeMat-Bulk: a relaxed structure of Be2ReSi (GGA-PBE).

Unit cell a=2.561 b=2.561 c=7.202 alpha=90.00 beta=90.00 gamma=93.42
Sites, in units of the cell vectors:
Be: 0.000 0.000 0.000
Be: 0.500 0.500 0.204
Re: 0.500 0.500 0.752
Si: 0.000 0.000 0.458

## Properties
The calculation puts the raw total energy at -5.954 eV per atom. The formation energy without anion corrections is 0.3770 eV/atom. The magnetization is 0.0 μB/cell.